(1)
# SrBi2P2Pd7

A relaxed structure of SrBi2P2Pd7 (PBE-GGA, Alexandria).

Values from the calculation:
DFT total energy, eV/atom: -5.2090

The structure in CIF format:
```
data_SrBi2P2Pd7
_symmetry_space_group_name_H-M 'C 1 2/m 1'
_symmetry_Int_Tables_number 12
_cell_length_a 6.628
_cell_length_b 6.087
_cell_length_c 11.952
_cell_angle_alpha 90.00
_cell_angle_beta 90.22
_cell_angle_gamma 90.00
loop_
_symmetry_equiv_pos_as_xyz
'x,y,z'
'-x,-y,-z'
'-x,y,-z'
'x,-y,z'
'x+1/2,y+1/2,z'
'-x+1/2,-y+1/2,-z'
'-x+1/2,y+1/2,-z'
'x+1/2,-y+1/2,z'
loop_
_atom_site_label
_atom_site_fract_x
_atom_site_fract_y
_atom_site_fract_z
Sr1 0.000 0.000 0.000
Bi1 0.174 0.000 0.402
P1 0.132 0.500 0.178
Pd1 0.000 0.500 0.000
Pd2 0.115 0.500 0.390
Pd3 0.117 0.247 0.762
```

***

(2)
# Sr3Bi2P2Pd4

A relaxed structure of Sr3Bi2P2Pd4 (PBE-GGA, Alexandria).

Values from the calculation:
DFT total energy, eV/atom: -4.6884

The structure in CIF format:
```
data_Sr3Bi2P2Pd4
_symmetry_space_group_name_H-M 'P -3 m 1'
_symmetry_Int_Tables_number 164
_symmetry_space_group_name_Hall '-P 3 2"'
_cell_length_a 4.3988
_cell_length_b 4.3988
_cell_length_c 16.5721
_cell_angle_alpha 90.00
_cell_angle_beta 90.00
_cell_angle_gamma 120.00
loop_
_atom_site_label
_atom_site_fract_x
_atom_site_fract_y
_atom_site_fract_z
Sr1 0.0000 0.0000 0.0000
Sr2 0.0000 0.0000 0.2488
Bi1 0.3333 0.6667 0.5715
P1 0.3333 0.6667 0.1302
Pd1 0.3333 0.6667 0.3860
Pd2 0.3333 0.6667 0.8721
```

***

Asked for V across the records above, the calculation gives 20.090; 25.245 A^3/atom in order.
Asked for formation enthalpy at 0 K across the records above, the calculation gives -491.2; -652.2 meV per atom in order.
Asked for magnetic moment across the records above, the calculation gives 0.00; 0.00 μB/f.u. in order.